Computed, not measured: PrDy6Y3 after structural relaxation at the GGA-PBE level of DFT.

Cell lengths 6.1801, 11.0267, 11.0267 Å; angles 119.49, 90.00, 90.00 degrees
Last column: nearest neighbours and their distance in Å.
Positions (direct):
Y: 0.5682 0.6097 0.3903  5 Dy 3.36-3.59, 1 Pr 3.53, 2 Y 3.70
Y: 0.4606 0.2811 0.0636  6 Dy 3.30-3.63, 1 Pr 3.31
Pr: 0.6454 0.7933 0.2067  7 Dy 3.26-3.47, 3 Y 3.31-3.53
Dy: 0.6363 0.2833 0.7167  4 Dy 3.24-3.41, 1 Y 3.36, 2 Pr 3.37-3.47
Pr: 0.1454 0.2067 0.7933  7 Dy 3.26-3.47, 3 Y 3.31-3.53
Dy: 0.5286 0.2880 0.3821  6 Dy 3.42-3.78, 4 Y 3.43-3.59
Y: 0.4606 0.9364 0.7189  6 Dy 3.30-3.63, 1 Pr 3.31
Dy: 0.8679 0.9614 0.5388  5 Dy 3.24-3.42, 2 Pr 3.26-3.47, 2 Y 3.30-3.58
Dy: 0.9214 0.0465 0.9535  1 Pr 3.35, 4 Y 3.53-3.63, 2 Dy 3.56
Dy: 0.0286 0.7120 0.6179  6 Dy 3.42-3.78, 4 Y 3.43-3.59
Y: 0.9606 0.0636 0.2811  6 Dy 3.30-3.63, 1 Pr 3.31
Dy: 0.4214 0.9535 0.0465  1 Pr 3.35, 4 Y 3.53-3.63, 2 Dy 3.56
Dy: 0.1363 0.7167 0.2833  4 Dy 3.24-3.41, 1 Y 3.36, 2 Pr 3.37-3.47
Dy: 0.3679 0.5388 0.9614  5 Dy 3.24-3.42, 2 Pr 3.26-3.47, 2 Y 3.30-3.58
Y: 0.0682 0.3903 0.6097  5 Dy 3.36-3.59, 1 Pr 3.53, 2 Y 3.70
Dy: 0.8679 0.4612 0.0386  5 Dy 3.24-3.42, 2 Pr 3.26-3.47, 2 Y 3.30-3.58
Y: 0.9606 0.7189 0.9364  6 Dy 3.30-3.63, 1 Pr 3.31
Dy: 0.0286 0.3821 0.2880  6 Dy 3.42-3.78, 4 Y 3.43-3.59
Dy: 0.3679 0.0386 0.4612  5 Dy 3.24-3.42, 2 Pr 3.26-3.47, 2 Y 3.30-3.58
Dy: 0.5286 0.6179 0.7120  6 Dy 3.42-3.78, 4 Y 3.43-3.59

Calculated values
For the energy relative to the elements, the calculation gives 0.144 eV/atom. The space group is Cmc2_1. The value obtained for the total energy is -5.03 eV/atom. Its relative energy among the computed polymorphs is 0.000 eV/atom.